1.
## ThZn12Au6 (GGA-PBE)

Data for a relaxed ThZn12Au6 crystal.

Geometry as CIF:
```
data_ThZn12Au6
_chemical_formula_sum 'Th1 Zn12 Au6'
_cell_length_a 7.283
_cell_length_b 7.283
_cell_length_c 7.283
_cell_angle_alpha 104.47
_cell_angle_beta 104.47
_cell_angle_gamma 104.47
_space_group_name_H-M_alt 'P 1'
_space_group_IT_number 1
loop_
_space_group_symop_operation_xyz
'x,y,z'
loop_
_atom_site_label
_atom_site_fract_x
_atom_site_fract_y
_atom_site_fract_z
Zn1 0.500 0.107 0.893
Zn2 0.107 0.893 0.500
Zn3 0.142 0.387 0.387
Zn4 0.613 0.613 0.858
Zn5 0.858 0.613 0.613
Zn6 0.107 0.500 0.893
Zn7 0.613 0.858 0.613
Zn8 0.387 0.387 0.142
Zn9 0.500 0.893 0.107
Zn10 0.387 0.142 0.387
Zn11 0.893 0.107 0.500
Zn12 0.893 0.500 0.107
Au1 0.716 0.284 0.284
Au2 0.284 0.716 0.284
Au3 0.284 0.284 0.716
Au4 0.716 0.284 0.716
Au5 0.716 0.716 0.284
Au6 0.284 0.716 0.716
Th1 0.000 0.000 0.000
```

Calculated values
DOS(E_F), states/eV/atom: 0.33
Formation energy from the elements, eV/atom: -0.19
Volume, Å³/f.u.: 341
E_tot, eV/atom: -2.417

---

2.
## Mg6Sn2N (GGA-PBE)

Data for a relaxed Mg6Sn2N crystal.

Geometry as CIF:
```
data_Mg6Sn2N
_chemical_formula_sum 'Mg6 Sn2 N1'
_cell_length_a 6.283
_cell_length_b 6.283
_cell_length_c 6.284
_cell_angle_alpha 60.00
_cell_angle_beta 60.00
_cell_angle_gamma 60.01
_space_group_name_H-M_alt 'P 1'
_space_group_IT_number 1
loop_
_space_group_symop_operation_xyz
'x,y,z'
loop_
_atom_site_label
_atom_site_fract_x
_atom_site_fract_y
_atom_site_fract_z
Mg1 0.256 0.744 0.256
Mg2 0.256 0.744 0.744
Mg3 0.744 0.744 0.257
Mg4 0.744 0.256 0.256
Mg5 0.744 0.256 0.744
Mg6 0.256 0.256 0.743
N1 0.500 0.500 0.500
Sn1 0.750 0.750 0.750
Sn2 0.250 0.250 0.250
```

Calculated values
DOS(E_F), states/eV/atom: 0.29
Volume, Å³/f.u.: 175
Formation energy from raw total energies, eV per atom: -0.321
E_tot, eV/atom: -3.199

---

3.
## In2OsSe (GGA-PBE)

Data for a relaxed In2OsSe crystal.

Geometry as CIF:
```
data_In2OsSe
_chemical_formula_sum 'In2 Os1 Se1'
_cell_length_a 3.147
_cell_length_b 3.147
_cell_length_c 10.360
_cell_angle_alpha 90.00
_cell_angle_beta 90.00
_cell_angle_gamma 121.26
_space_group_name_H-M_alt 'P 1'
_space_group_IT_number 1
loop_
_space_group_symop_operation_xyz
'x,y,z'
loop_
_atom_site_label
_atom_site_fract_x
_atom_site_fract_y
_atom_site_fract_z
In1 0.000 0.000 0.010
In2 0.500 0.500 0.285
Os1 0.000 0.000 0.512
Se1 0.500 0.500 0.693
```

Calculated values
DOS(E_F), states/eV/atom: 0.51
Volume, Å³/f.u.: 88
Formation energy from raw total energies, eV per atom: 0.457
E_tot, eV/atom: -4.591

---

4.
## Ni2OsPtCl (GGA-PBE)

Data for a relaxed Ni2OsPtCl crystal.

Geometry as CIF:
```
data_Ni2OsPtCl
_chemical_formula_sum 'Ni2 Os1 Pt1 Cl1'
_cell_length_a 4.687
_cell_length_b 4.544
_cell_length_c 4.687
_cell_angle_alpha 90.00
_cell_angle_beta 90.00
_cell_angle_gamma 90.00
_space_group_name_H-M_alt 'P 1'
_space_group_IT_number 1
loop_
_space_group_symop_operation_xyz
'x,y,z'
loop_
_atom_site_label
_atom_site_fract_x
_atom_site_fract_y
_atom_site_fract_z
Cl1 0.000 0.500 0.000
Pt1 0.000 0.000 0.000
Ni1 0.000 0.000 0.500
Ni2 0.500 0.000 0.000
Os1 0.500 0.500 0.500
```

Calculated values
DOS(E_F), states/eV/atom: 1.62
Volume, Å³/f.u.: 100
Formation energy from raw total energies, eV per atom: 1.817
E_tot, eV/atom: -4.319

---

5.
## LiGaBiO4 (GGA-PBE)

Data for a relaxed LiGaBiO4 crystal.

Geometry as CIF:
```
data_LiGaBiO4
_chemical_formula_sum 'Li2 Ga2 Bi2 O8'
_cell_length_a 6.092
_cell_length_b 6.393
_cell_length_c 6.859
_cell_angle_alpha 122.44
_cell_angle_beta 90.00
_cell_angle_gamma 118.46
_space_group_name_H-M_alt 'P 1'
_space_group_IT_number 1
loop_
_space_group_symop_operation_xyz
'x,y,z'
loop_
_atom_site_label
_atom_site_fract_x
_atom_site_fract_y
_atom_site_fract_z
Li1 0.886 0.772 0.136
Li2 0.114 0.228 0.864
Bi1 0.500 0.000 0.500
Bi2 0.500 0.000 0.000
O1 0.750 0.500 0.299
O2 0.250 0.500 0.299
O3 0.725 0.964 0.732
O4 0.275 0.036 0.268
O5 0.760 0.036 0.268
O6 0.250 0.500 0.701
O7 0.240 0.964 0.732
O8 0.750 0.500 0.701
Ga1 0.500 0.500 0.500
Ga2 0.000 0.500 0.500
```

Calculated values
DOS(E_F), states/eV/atom: 0.32
Volume, Å³/f.u.: 93
Formation energy from raw total energies, eV per atom: -1.460
E_tot, eV/atom: -5.553

---

6.
## Tm4PdAu (GGA-PBE)

Data for a relaxed Tm4PdAu crystal.

Geometry as CIF:
```
data_Tm4PdAu
_chemical_formula_sum 'Tm4 Pd1 Au1'
_cell_length_a 4.865
_cell_length_b 4.865
_cell_length_c 6.879
_cell_angle_alpha 89.95
_cell_angle_beta 89.97
_cell_angle_gamma 90.00
_space_group_name_H-M_alt 'P 1'
_space_group_IT_number 1
loop_
_space_group_symop_operation_xyz
'x,y,z'
loop_
_atom_site_label
_atom_site_fract_x
_atom_site_fract_y
_atom_site_fract_z
Tm1 0.001 0.497 0.251
Tm2 0.001 0.498 0.745
Tm3 0.501 0.998 0.745
Tm4 0.501 0.997 0.251
Pd1 0.001 0.997 0.498
Au1 0.501 0.497 0.998
```

Calculated values
DOS(E_F), states/eV/atom: 0.99
Formation energy from the elements, eV/atom: -0.50
Volume, Å³/f.u.: 163
E_tot, eV/atom: -4.895